SrV4O10 | GGA+U | relaxed

Lattice parameters (Å, degrees): 6.2882 7.4773 9.0458 89.78 87.44 72.45
Space group P-1 (No. 2)
Inequivalent atoms, fractional coordinates:
Sr1 0.1822 0.2067 0.0144 (multiplicity 2)
V1 0.1191 0.9664 0.6593 (multiplicity 2)
V2 0.1344 0.4705 0.6584 (multiplicity 2)
V3 0.4594 0.3809 0.3400 (multiplicity 2)
V4 0.4744 0.8875 0.3378 (multiplicity 2)
O1 0.0698 0.4940 0.8429 (multiplicity 2)
O2 0.0793 0.9669 0.8450 (multiplicity 2)
O3 0.1556 0.9661 0.3989 (multiplicity 2)
O4 0.1767 0.4532 0.4132 (multiplicity 2)
O5 0.1981 0.1926 0.6471 (multiplicity 2)
O6 0.2064 0.7057 0.6317 (multiplicity 2)
O7 0.4325 0.3609 0.1619 (multiplicity 2)
O8 0.4511 0.9229 0.1538 (multiplicity 2)
O9 0.4690 0.8767 0.5992 (multiplicity 2)
O10 0.4708 0.3880 0.6359 (multiplicity 2)

Calculated values
- Uncorrected energy: -113.0 eV per formula unit
- Volume: 13.50 A^3/atom